# Na2Li2CrF6 (PBE with a Hubbard U, relaxed)
# Electronic total energy (eV/atom): -4.96
# Calculated density (g/cm3): 2.89
data_Na2Li2CrF6
_chemical_formula_sum 'Na2 Li2 Cr1 F6'
_symmetry_space_group_name_H-M 'P 1'
_symmetry_Int_Tables_number 1
_cell_length_a 5.263
_cell_length_b 5.263
_cell_length_c 5.410
_cell_angle_alpha 90.00
_cell_angle_beta 90.00
_cell_angle_gamma 120.00
loop_
_symmetry_equiv_pos_as_xyz
'x,y,z'
loop_
_atom_site_label
_atom_site_type_symbol
_atom_site_fract_x
_atom_site_fract_y
_atom_site_fract_z
F1 F 0.654 0.000 0.210
F2 F 0.346 0.346 0.210
F3 F 0.000 0.346 0.790
F4 F 0.346 0.000 0.790
F5 F 0.000 0.654 0.210
F6 F 0.654 0.654 0.790
Li1 Li 0.333 0.667 0.000
Li2 Li 0.667 0.333 0.000
Na1 Na 0.667 0.333 0.500
Na2 Na 0.333 0.667 0.500
Cr1 Cr 0.000 0.000 0.000